Density functional theory data (PBE) for a geometry-optimized GdDyEr2Al2 structure.

- final energy (eV per atom) = -4.588
- total moment (μB per formula unit) = 0.00
- space group = No. 187

Cell lengths 5.2202, 5.2202, 6.6188 Å; angles 90.00, 90.00, 120.00 degrees
Fractional positions:
Gd: 0.6667 0.3333 0.5000
Al: 0.0000 0.0000 0.5000
Er: 0.3333 0.6667 0.7510
Al: 0.6667 0.3333 0.0000
Er: 0.3333 0.6667 0.2490
Dy: 0.0000 0.0000 0.0000